[1]
Entry from the Alexandria database: Pm10Y4Ho after structural relaxation (PBE).

Structure (CIF):
```
data_Pm10Y4Ho
_chemical_formula_sum 'Pm20 Y8 Ho2'
_cell_length_a 12.364
_cell_length_b 12.364
_cell_length_c 7.804
_cell_angle_alpha 90.00
_cell_angle_beta 90.00
_cell_angle_gamma 90.00
_space_group_name_H-M_alt 'I 4/m'
_space_group_IT_number 87
_space_group_name_Hall '-I 4'
loop_
_atom_site_label
_atom_site_type_symbol
_atom_site_fract_x
_atom_site_fract_y
_atom_site_fract_z
Pm1 Pm 0.000 0.500 0.250
Pm2 Pm 0.099 0.801 0.249
Y1 Y 0.100 0.299 0.500
Ho1 Ho 0.000 0.000 0.000
```

Computed properties:
Formation energy from the elements = 0.724 eV/atom
V = 39.77 A^3/atom



[2]
Entry from the Alexandria database: PmY7Ho2 after structural relaxation (PBE).

Structure (CIF):
```
data_PmY7Ho2
_chemical_formula_sum 'Pm2 Y14 Ho4'
_cell_length_a 11.894
_cell_length_b 16.566
_cell_length_c 3.542
_cell_angle_alpha 90.00
_cell_angle_beta 90.00
_cell_angle_gamma 90.00
_space_group_name_H-M_alt 'C m m m'
_space_group_IT_number 65
_space_group_name_Hall '-C 2 2'
loop_
_atom_site_label
_atom_site_type_symbol
_atom_site_fract_x
_atom_site_fract_y
_atom_site_fract_z
Pm1 Pm 0.000 0.000 0.000
Y1 Y 0.000 0.324 0.000
Y2 Y 0.000 0.500 0.500
Y3 Y 0.241 0.366 0.500
Ho1 Ho 0.000 0.169 0.500
```

Computed properties:
Formation energy from the elements = 0.429 eV/atom
V = 34.89 A^3/atom



[3]
Entry from the Alexandria database: PmY2Ho7 after structural relaxation (PBE).

Structure (CIF):
```
data_PmY2Ho7
_chemical_formula_sum 'Pm2 Y4 Ho14'
_cell_length_a 8.594
_cell_length_b 17.334
_cell_length_c 5.205
_cell_angle_alpha 90.00
_cell_angle_beta 90.00
_cell_angle_gamma 90.00
_space_group_name_H-M_alt 'C m m m'
_space_group_IT_number 65
_space_group_name_Hall '-C 2 2'
loop_
_atom_site_label
_atom_site_type_symbol
_atom_site_fract_x
_atom_site_fract_y
_atom_site_fract_z
Pm1 Pm 0.000 0.000 0.000
Y1 Y 0.000 0.297 0.500
Ho1 Ho 0.000 0.196 0.000
Ho2 Ho 0.000 0.500 0.500
Ho3 Ho 0.179 0.108 0.500
```

Computed properties:
Formation energy from the elements = 0.711 eV/atom
V = 38.77 A^3/atom



Number 1: final energy -4.472 eV per atom. Number 2: final energy -5.487 eV per atom. Number 3: final energy -4.262 eV per atom.